DFT (PBE) results for an optimized crystal structure of PuHf2P4.

Spin magnetization in Bohr magnetons per cell: 8.49
Formation enthalpy at 0 K in meV per atom: -960

Cell: 6.395 6.395 12.100 Å, 90.00 90.00 145.84°
Positions (direct):
Pu: 0.106 0.894 0.750
Pu: 0.894 0.106 0.250
Hf: 0.365 0.635 0.556
Hf: 0.365 0.635 0.944
Hf: 0.635 0.365 0.056
Hf: 0.635 0.365 0.444
P: 0.000 0.000 0.000
P: 0.000 0.000 0.500
P: 0.264 0.736 0.134
P: 0.264 0.736 0.366
P: 0.444 0.556 0.750
P: 0.556 0.444 0.250
P: 0.736 0.264 0.634
P: 0.736 0.264 0.866

=====

DFT (PBE) results for an optimized crystal structure of Sr3HfNb.

Spin magnetization in Bohr magnetons per cell: 0.99
Formation enthalpy at 0 K in meV per atom: 1866
Polymorph energy (0 for the lowest one) in kcal/mol of atoms: 9.06

Cell: 5.922 5.922 5.922 Å, 90.00 90.00 90.00°
Positions (direct):
Sr: 0.000 0.000 0.500
Sr: 0.000 0.500 0.000
Sr: 0.500 0.000 0.000
Hf: 0.000 0.000 0.000
Nb: 0.500 0.500 0.500

=====

DFT (PBE) results for an optimized crystal structure of Sr4Nb3O10.

Spin magnetization in Bohr magnetons per cell: 0.00
Uncorrected formation energy in eV/atom: -2.758

Cell: 14.754 14.754 14.754 Å, 164.04 164.04 22.65°
Positions (direct):
Sr: 0.069 0.069 0.000
Sr: 0.203 0.203 0.000
Sr: 0.797 0.797 0.000
Sr: 0.931 0.931 0.000
Nb: 0.359 0.359 0.000
Nb: 0.500 0.500 0.000
Nb: 0.641 0.641 0.000
O: 0.000 0.500 0.500
O: 0.141 0.641 0.500
O: 0.287 0.287 0.000
O: 0.359 0.859 0.500
O: 0.429 0.429 0.000
O: 0.500 0.000 0.500
O: 0.571 0.571 0.000
O: 0.641 0.141 0.500
O: 0.713 0.713 0.000
O: 0.859 0.359 0.500

=====

DFT (PBE) results for an optimized crystal structure of NbFe6.

Spin magnetization in Bohr magnetons per cell: 7.13
Formation enthalpy at 0 K in meV per atom: 1776
Polymorph energy (0 for the lowest one) in kcal/mol of atoms: 16.00

Cell: 5.084 5.084 5.084 Å, 90.00 90.00 90.00°
Positions (direct):
Nb: 0.000 0.000 0.000
Fe: 0.191 0.500 0.500
Fe: 0.500 0.191 0.500
Fe: 0.500 0.500 0.191
Fe: 0.500 0.500 0.809
Fe: 0.500 0.809 0.500
Fe: 0.809 0.500 0.500